Entry from the Alexandria database: Na2Zn3Ga after structural relaxation (GGA-PBE).

Calculated values
Theoretical density in Mg/m³: 4.45
Calculated formation energy in eV/atom: -0.05

abc: 9.3632 5.5337 5.4259
angles: 90.00 124.13 90.00
Space group C2/m (No. 12)
Inequivalent atoms, fractional coordinates:
Na 0.1251 0.0000 0.3769 (multiplicity 4)
Zn 0.0000 0.5000 0.0000 (multiplicity 2)
Zn 0.2500 0.2500 0.0000 (multiplicity 4)
Ga 0.0000 0.5000 0.5000 (multiplicity 2)